16
Lattice="6.9293 0.0000 0.0000 0.0000 6.9293 0.0000 0.0000 0.0000 6.9293" Properties=species:S:1:pos:R:3 comment="MnIn2F GGA+U relaxed" final_energy_ev_per_atom=-4.029 de_polymorph_ev_per_atom=0.077 magnetic_moment_mub_per_cell=17.8 pbc="T T T"
Mn 0.0000 0.0000 0.0000
Mn 0.0000 3.4647 3.4647
Mn 3.4647 0.0000 3.4647
Mn 3.4647 3.4647 0.0000
In 1.7323 1.7323 1.7323
In 1.7323 1.7323 5.1970
In 1.7323 5.1970 1.7323
In 1.7323 5.1970 5.1970
In 5.1970 1.7323 1.7323
In 5.1970 1.7323 5.1970
In 5.1970 5.1970 1.7323
In 5.1970 5.1970 5.1970
F 0.0000 0.0000 3.4647
F 0.0000 3.4647 0.0000
F 3.4647 0.0000 0.0000
F 3.4647 3.4647 3.4647